(1)
InB4Pt | PBE | optimized geometry

Results
E (eV per atom): -5.41
ρ (g/cm3): 9.18
Crystal system: hexagonal

```
InB4Pt
1.0
-2.282 1.072 1.884
1.223 -2.860 0.480
5.121 2.948 4.525
In B Pt
1 4 1
direct
0.000 0.000 0.500
0.333 0.667 0.774
0.667 0.333 0.774
0.667 0.333 0.226
0.333 0.667 0.226
0.000 0.000 0.000
```

***

(2)
ZrB | PBE | optimized geometry

Results
E (eV per atom): -8.02
ρ (g/cm3): 5.74
Crystal system: hexagonal

```
ZrB
1.0
3.591 0.000 0.000
-1.796 3.110 0.000
0.000 0.000 5.283
B Zr
2 2
direct
0.000 0.000 0.500
0.000 0.000 0.000
0.667 0.333 0.750
0.333 0.667 0.250
```

***

(3)
KPrPO | PBE | optimized geometry

Results
E (eV per atom): -5.42
ρ (g/cm3): 4.07
Crystal system: tetragonal

```
KPrPO
1.0
4.141 0.000 0.000
0.000 4.141 0.000
0.000 0.000 10.800
Pr O P K
2 2 2 2
direct
0.500 0.000 0.893
0.000 0.500 0.107
0.500 0.500 0.000
0.000 0.000 0.000
0.500 0.000 0.279
0.000 0.500 0.721
0.000 0.000 0.500
0.500 0.500 0.500
```